# YMgAg, relaxed, DFT PBE
data_YMgAg
_cell_length_a 4.8423
_cell_length_b 4.8423
_cell_length_c 4.8423
_cell_angle_alpha 60.00
_cell_angle_beta 60.00
_cell_angle_gamma 60.00
_space_group_name_H-M_alt 'P 1'
_space_group_IT_number 1
loop_
_space_group_symop_operation_xyz
'x,y,z'
loop_
_atom_site_label
_atom_site_fract_x
_atom_site_fract_y
_atom_site_fract_z
_atom_site_occupancy
Ag1 0.7500 0.7500 0.7500 1
Y1 0.5000 0.5000 0.5000 1
Mg1 0.0000 0.0000 0.0000 1
# V in A^3/atom: 26.762
# Calculated formation energy in eV per atom: -0.08
# VASP energy in eV/atom: -3.7180

---

# AlMoAs2, relaxed, DFT PBE
data_AlMoAs2
_cell_length_a 2.8830
_cell_length_b 2.8830
_cell_length_c 9.5824
_cell_angle_alpha 90.00
_cell_angle_beta 90.00
_cell_angle_gamma 106.97
_space_group_name_H-M_alt 'P 1'
_space_group_IT_number 1
loop_
_space_group_symop_operation_xyz
'x,y,z'
loop_
_atom_site_label
_atom_site_fract_x
_atom_site_fract_y
_atom_site_fract_z
_atom_site_occupancy
Al1 0.5000 0.5000 0.7302 1
As1 0.5000 0.5000 0.3163 1
As2 0.0000 0.0000 0.9386 1
Mo1 0.0000 0.0000 0.5149 1
# V in A^3/atom: 19.045
# Calculated formation energy in eV per atom: 0.08
# VASP energy in eV/atom: -5.8899

---

# Tc4Sb, relaxed, DFT PBE
data_Tc4Sb
_cell_length_a 6.2644
_cell_length_b 6.2644
_cell_length_c 6.2644
_cell_angle_alpha 142.65
_cell_angle_beta 142.65
_cell_angle_gamma 53.84
_space_group_name_H-M_alt 'P 1'
_space_group_IT_number 1
loop_
_space_group_symop_operation_xyz
'x,y,z'
loop_
_atom_site_label
_atom_site_fract_x
_atom_site_fract_y
_atom_site_fract_z
_atom_site_occupancy
Tc1 0.2500 0.7500 0.5000 1
Tc2 0.6133 0.6133 0.0000 1
Tc3 0.3867 0.3867 0.0000 1
Tc4 0.7500 0.2500 0.5000 1
Sb1 0.0000 0.0000 0.0000 1
# Formation energy (no corrections) in kJ/mol of formula units: 196
# V in A^3/atom: 17.975
# VASP energy in eV/atom: -8.7117
# Relative energy among the computed polymorphs in meV/atom: 0.0

---

# Cs2Rb5Cd4, relaxed, DFT PBE
data_Cs2Rb5Cd4
_cell_length_a 8.9265
_cell_length_b 9.8777
_cell_length_c 10.9994
_cell_angle_alpha 61.86
_cell_angle_beta 66.06
_cell_angle_gamma 63.14
_space_group_name_H-M_alt 'P 1'
_space_group_IT_number 1
loop_
_space_group_symop_operation_xyz
'x,y,z'
loop_
_atom_site_label
_atom_site_fract_x
_atom_site_fract_y
_atom_site_fract_z
_atom_site_occupancy
Rb1 0.6464 0.3052 0.9111 1
Rb2 0.8627 0.6948 0.0889 1
Rb3 0.3536 0.6948 0.0889 1
Rb4 0.0000 0.5000 0.5000 1
Rb5 0.1373 0.3052 0.9111 1
Cs1 0.7201 0.1438 0.4159 1
Cs2 0.2799 0.8562 0.5841 1
Cd1 0.5769 0.0006 0.8457 1
Cd2 0.2377 0.2897 0.2348 1
Cd3 0.4231 0.9994 0.1543 1
Cd4 0.7623 0.7103 0.7652 1
# V in A^3/atom: 67.245
# Calculated formation energy in eV per atom: 0.02
# VASP energy in eV/atom: -0.9102

---

# CaRu2Au, relaxed, DFT PBE
data_CaRu2Au
_cell_length_a 9.6601
_cell_length_b 9.6601
_cell_length_c 9.6601
_cell_angle_alpha 17.31
_cell_angle_beta 17.31
_cell_angle_gamma 17.31
_space_group_name_H-M_alt 'P 1'
_space_group_IT_number 1
loop_
_space_group_symop_operation_xyz
'x,y,z'
loop_
_atom_site_label
_atom_site_fract_x
_atom_site_fract_y
_atom_site_fract_z
_atom_site_occupancy
Ca1 0.7500 0.7500 0.7500 1
Au1 0.2500 0.2500 0.2500 1
Ru1 0.9969 0.9969 0.9969 1
Ru2 0.5031 0.5031 0.5031 1
# V in A^3/atom: 17.416
# Calculated formation energy in eV per atom: 0.64
# VASP energy in eV/atom: -5.3163
# Relative energy among the computed polymorphs in meV/atom: 542.4

---

# Ca2CuNi3P4, relaxed, DFT PBE
data_Ca2CuNi3P4
_cell_length_a 3.9930
_cell_length_b 3.9930
_cell_length_c 9.3571
_cell_angle_alpha 90.00
_cell_angle_beta 90.00
_cell_angle_gamma 90.00
_space_group_name_H-M_alt 'P 1'
_space_group_IT_number 1
loop_
_space_group_symop_operation_xyz
'x,y,z'
loop_
_atom_site_label
_atom_site_fract_x
_atom_site_fract_y
_atom_site_fract_z
_atom_site_occupancy
Ca1 0.5000 0.0000 0.2466 1
Ca2 0.0000 0.5000 0.7534 1
Ni1 0.0000 0.5000 0.1169 1
Ni2 0.0000 0.0000 0.5000 1
Ni3 0.5000 0.0000 0.8831 1
Cu1 0.5000 0.5000 0.5000 1
P1 0.0000 0.5000 0.3615 1
P2 0.5000 0.0000 0.6385 1
P3 0.5000 0.5000 0.0000 1
P4 0.0000 0.0000 0.0000 1
# V in A^3/atom: 14.919
# Calculated formation energy in eV per atom: -0.75
# VASP energy in eV/atom: -5.4619

---

# Hf2ScSb2, relaxed, DFT PBE
data_Hf2ScSb2
_cell_length_a 7.7422
_cell_length_b 7.7422
_cell_length_c 3.7808
_cell_angle_alpha 90.00
_cell_angle_beta 90.00
_cell_angle_gamma 90.00
_space_group_name_H-M_alt 'P 1'
_space_group_IT_number 1
loop_
_space_group_symop_operation_xyz
'x,y,z'
loop_
_atom_site_label
_atom_site_fract_x
_atom_site_fract_y
_atom_site_fract_z
_atom_site_occupancy
Hf1 0.3510 0.1490 0.5000 1
Hf2 0.8510 0.3510 0.5000 1
Hf3 0.6490 0.8510 0.5000 1
Hf4 0.1490 0.6490 0.5000 1
Sb1 0.1476 0.3524 0.0000 1
Sb2 0.6476 0.1476 0.0000 1
Sb3 0.8524 0.6476 0.0000 1
Sb4 0.3524 0.8524 0.0000 1
Sc1 0.5000 0.5000 0.0000 1
Sc2 0.0000 0.0000 0.0000 1
# Formation energy (no corrections) in kJ/mol of formula units: -258
# V in A^3/atom: 22.663
# VASP energy in eV/atom: -7.4318
# Relative energy among the computed polymorphs in meV/atom: 0.0

---

# HoTaO4, relaxed, DFT PBE
data_HoTaO4
_cell_length_a 6.5412
_cell_length_b 6.5412
_cell_length_c 5.0890
_cell_angle_alpha 69.49
_cell_angle_beta 69.49
_cell_angle_gamma 115.12
_space_group_name_H-M_alt 'P 1'
_space_group_IT_number 1
loop_
_space_group_symop_operation_xyz
'x,y,z'
loop_
_atom_site_label
_atom_site_fract_x
_atom_site_fract_y
_atom_site_fract_z
_atom_site_occupancy
Ta1 0.8982 0.1018 0.7500 1
Ta2 0.1018 0.8982 0.2500 1
O1 0.6323 0.0520 0.6590 1
O2 0.7865 0.7235 0.7142 1
O3 0.2765 0.2135 0.7858 1
O4 0.9480 0.3677 0.8410 1
O5 0.7235 0.7865 0.2142 1
O6 0.2135 0.2765 0.2858 1
O7 0.3677 0.9480 0.3410 1
O8 0.0520 0.6323 0.1590 1
Ho1 0.3687 0.6313 0.7500 1
Ho2 0.6313 0.3687 0.2500 1
# Formation energy (no corrections) in kJ/mol of formula units: -1894
# V in A^3/atom: 12.443
# VASP energy in eV/atom: -9.3162

---

# Mg5Tl24, relaxed, DFT PBE
data_Mg5Tl24
_cell_length_a 10.4232
_cell_length_b 10.4232
_cell_length_c 10.4232
_cell_angle_alpha 109.47
_cell_angle_beta 109.47
_cell_angle_gamma 109.47
_space_group_name_H-M_alt 'P 1'
_space_group_IT_number 1
loop_
_space_group_symop_operation_xyz
'x,y,z'
loop_
_atom_site_label
_atom_site_fract_x
_atom_site_fract_y
_atom_site_fract_z
_atom_site_occupancy
Mg1 0.0000 0.6777 0.0000 1
Mg2 0.0000 0.0000 0.6777 1
Mg3 0.0000 0.0000 0.0000 1
Mg4 0.6777 0.0000 0.0000 1
Mg5 0.3223 0.3223 0.3223 1
Tl1 0.0000 0.6954 0.4156 1
Tl2 0.6954 0.4156 0.0000 1
Tl3 0.8099 0.8099 0.1866 1
Tl4 0.3046 0.7202 0.3046 1
Tl5 0.0000 0.1901 0.3767 1
Tl6 0.4156 0.6954 0.0000 1
Tl7 0.6954 0.0000 0.4156 1
Tl8 0.7202 0.3046 0.3046 1
Tl9 0.3767 0.1901 0.0000 1
Tl10 0.1901 0.3767 0.0000 1
Tl11 0.6233 0.8134 0.6233 1
Tl12 0.4156 0.0000 0.6954 1
Tl13 0.8099 0.1866 0.8099 1
Tl14 0.6233 0.6233 0.8134 1
Tl15 0.0000 0.4156 0.6954 1
Tl16 0.1866 0.8099 0.8099 1
Tl17 0.2798 0.5844 0.5844 1
Tl18 0.3046 0.3046 0.7202 1
Tl19 0.8134 0.6233 0.6233 1
Tl20 0.0000 0.3767 0.1901 1
Tl21 0.5844 0.5844 0.2798 1
Tl22 0.5844 0.2798 0.5844 1
Tl23 0.1901 0.0000 0.3767 1
Tl24 0.3767 0.0000 0.1901 1
# V in A^3/atom: 30.059
# Calculated formation energy in eV per atom: 0.06
# VASP energy in eV/atom: -2.1688

---

# CeSmIrRh, relaxed, DFT PBE
data_CeSmIrRh
_cell_length_a 4.9473
_cell_length_b 4.9473
_cell_length_c 4.9473
_cell_angle_alpha 60.00
_cell_angle_beta 60.00
_cell_angle_gamma 60.00
_space_group_name_H-M_alt 'P 1'
_space_group_IT_number 1
loop_
_space_group_symop_operation_xyz
'x,y,z'
loop_
_atom_site_label
_atom_site_fract_x
_atom_site_fract_y
_atom_site_fract_z
_atom_site_occupancy
Rh1 0.5000 0.5000 0.5000 1
Sm1 0.2500 0.2500 0.2500 1
Ce1 0.7500 0.7500 0.7500 1
Ir1 0.0000 0.0000 0.0000 1
# V in A^3/atom: 21.406
# Calculated formation energy in eV per atom: -0.68
# VASP energy in eV/atom: -7.4007
# Relative energy among the computed polymorphs in meV/atom: 90.4

---

# GaHgB, relaxed, DFT PBE
data_GaHgB
_cell_length_a 3.1613
_cell_length_b 6.2104
_cell_length_c 6.3796
_cell_angle_alpha 112.12
_cell_angle_beta 96.93
_cell_angle_gamma 73.35
_space_group_name_H-M_alt 'P 1'
_space_group_IT_number 1
loop_
_space_group_symop_operation_xyz
'x,y,z'
loop_
_atom_site_label
_atom_site_fract_x
_atom_site_fract_y
_atom_site_fract_z
_atom_site_occupancy
B1 0.0121 0.6223 0.1476 1
B2 0.5009 0.6654 0.2058 1
Ga1 0.9909 0.7530 0.8641 1
Ga2 0.5109 0.5377 0.4904 1
Hg1 0.3523 0.0983 0.4230 1
Hg2 0.1677 0.1895 0.9318 1
# V in A^3/atom: 18.526
# Calculated formation energy in eV per atom: 0.29
# VASP energy in eV/atom: -3.0474

---

# LiCo3Ge, relaxed, DFT PBE
data_LiCo3Ge
_cell_length_a 4.3952
_cell_length_b 4.3952
_cell_length_c 4.3952
_cell_angle_alpha 90.00
_cell_angle_beta 90.00
_cell_angle_gamma 90.00
_space_group_name_H-M_alt 'P 1'
_space_group_IT_number 1
loop_
_space_group_symop_operation_xyz
'x,y,z'
loop_
_atom_site_label
_atom_site_fract_x
_atom_site_fract_y
_atom_site_fract_z
_atom_site_occupancy
Ge1 0.0000 0.0000 0.0000 1
Co1 0.0000 0.0000 0.5000 1
Co2 0.5000 0.0000 0.0000 1
Co3 0.0000 0.5000 0.0000 1
Li1 0.5000 0.5000 0.5000 1
# V in A^3/atom: 16.981
# Calculated formation energy in eV per atom: 0.74
# VASP energy in eV/atom: -4.8294
# Relative energy among the computed polymorphs in meV/atom: 0.0

---

> Number 2 is which compound?

AlMoAs2

---

> Among the records above, which one has the lowest VASP energy?

HoTaO4

---

> Look up the V of the seventh one.

22.663 A^3/atom